[1]
# Pm5Dy3Ho | the Alexandria database | PBE-GGA | optimized geometry
# - raw total energy (eV per atom) = -4.373
# - energy above the most stable polymorph in this dataset (eV/atom) = 0.139
# - calculated formation energy (eV/atom) = 0.309
data_Pm5Dy3Ho
_cell_length_a 9.242
_cell_length_b 9.242
_cell_length_c 14.332
_cell_angle_alpha 90.00
_cell_angle_beta 90.00
_cell_angle_gamma 90.00
_symmetry_space_group_name_H-M 'I 4/m c m'
_symmetry_Int_Tables_number 140
_symmetry_space_group_name_Hall '-I 4 2c'
loop_
_atom_site_label
_atom_site_fract_x
_atom_site_fract_y
_atom_site_fract_z
Pm1 0.000 0.000 0.000
Pm2 0.203 0.297 0.133
Dy1 0.000 0.000 0.250
Dy2 0.110 0.390 0.500
Ho1 0.000 0.500 0.250



[2]
# Pm4Dy5Ho | the Alexandria database | PBE-GGA | optimized geometry
# - raw total energy (eV per atom) = -4.473
# - energy above the most stable polymorph in this dataset (eV/atom) = 0.000
# - calculated formation energy (eV/atom) = 0.186
data_Pm4Dy5Ho
_cell_length_a 17.209
_cell_length_b 3.536
_cell_length_c 11.160
_cell_angle_alpha 90.00
_cell_angle_beta 90.02
_cell_angle_gamma 90.00
_symmetry_space_group_name_H-M 'C 1 2/m 1'
_symmetry_Int_Tables_number 12
_symmetry_space_group_name_Hall '-C 2y'
loop_
_atom_site_label
_atom_site_fract_x
_atom_site_fract_y
_atom_site_fract_z
Pm1 0.030 0.000 0.250
Pm2 0.155 0.500 0.750
Dy1 0.000 0.500 0.500
Dy2 0.173 0.000 0.052
Dy3 0.174 0.000 0.447
Ho1 0.000 0.500 0.000



[3]
# Pm6Dy3Ho | the Alexandria database | PBE-GGA | optimized geometry
# - raw total energy (eV per atom) = -4.564
# - energy above the most stable polymorph in this dataset (eV/atom) = 0.000
# - calculated formation energy (eV/atom) = 0.125
data_Pm6Dy3Ho
_cell_length_a 9.792
_cell_length_b 21.309
_cell_length_c 6.420
_cell_angle_alpha 90.00
_cell_angle_beta 90.00
_cell_angle_gamma 90.00
_symmetry_space_group_name_H-M 'C m c 21'
_symmetry_Int_Tables_number 36
_symmetry_space_group_name_Hall 'C 2c -2'
loop_
_atom_site_label
_atom_site_fract_x
_atom_site_fract_y
_atom_site_fract_z
Pm1 0.000 0.016 0.000
Pm2 0.000 0.301 0.022
Pm3 0.175 0.281 0.495
Pm4 0.181 0.440 0.249
Dy1 0.000 0.420 0.729
Dy2 0.168 0.126 0.328
Ho1 0.000 0.159 0.803



[4]
# Pm2Dy8Ho3 | the Alexandria database | PBE-GGA | optimized geometry
# - raw total energy (eV per atom) = -4.382
# - energy above the most stable polymorph in this dataset (eV/atom) = 0.084
# - calculated formation energy (eV/atom) = 0.237
data_Pm2Dy8Ho3
_cell_length_a 7.602
_cell_length_b 20.595
_cell_length_c 5.550
_cell_angle_alpha 90.00
_cell_angle_beta 90.00
_cell_angle_gamma 90.00
_symmetry_space_group_name_H-M 'C m m m'
_symmetry_Int_Tables_number 65
_symmetry_space_group_name_Hall '-C 2 2'
loop_
_atom_site_label
_atom_site_fract_x
_atom_site_fract_y
_atom_site_fract_z
Pm1 0.000 0.241 0.000
Dy1 0.000 0.130 0.500
Dy2 0.000 0.337 0.500
Dy3 0.212 0.394 0.000
Ho1 0.000 0.000 0.000
Ho2 0.214 0.500 0.500



[5]
# Pm8DyHo6 | the Alexandria database | PBE-GGA | optimized geometry
# - raw total energy (eV per atom) = -4.494
# - energy above the most stable polymorph in this dataset (eV/atom) = 0.052
# - calculated formation energy (eV/atom) = 0.177
data_Pm8DyHo6
_cell_length_a 9.4042
_cell_length_b 9.4042
_cell_length_c 6.5383
_cell_angle_alpha 90.00
_cell_angle_beta 90.00
_cell_angle_gamma 120.00
_symmetry_space_group_name_H-M 'P -3'
_symmetry_Int_Tables_number 147
_symmetry_space_group_name_Hall '-P 3'
loop_
_atom_site_label
_atom_site_fract_x
_atom_site_fract_y
_atom_site_fract_z
Pm1 0.0360 0.7501 0.1668
Pm2 0.3333 0.6667 0.1209
Dy1 0.0000 0.0000 0.5000
Ho1 0.0934 0.6555 0.6590



[6]
# Pm5DyHo12 | the Alexandria database | PBE-GGA | optimized geometry
# - raw total energy (eV per atom) = -4.609
# - calculated formation energy (eV/atom) = 0.018
data_Pm5DyHo12
_cell_length_a 18.490
_cell_length_b 10.665
_cell_length_c 6.161
_cell_angle_alpha 90.00
_cell_angle_beta 109.32
_cell_angle_gamma 90.00
_symmetry_space_group_name_H-M 'C 1 2/m 1'
_symmetry_Int_Tables_number 12
_symmetry_space_group_name_Hall '-C 2y'
loop_
_atom_site_label
_atom_site_fract_x
_atom_site_fract_y
_atom_site_fract_z
Pm1 0.000 0.000 0.000
Pm2 0.166 0.500 0.999
Pm3 0.167 0.000 0.500
Dy1 0.000 0.500 0.500
Ho1 0.000 0.169 0.500
Ho2 0.000 0.333 0.000
Ho3 0.166 0.333 0.499
Ho4 0.167 0.168 0.000



[7]
# Pm4DyHo5 | the Alexandria database | PBE-GGA | optimized geometry
# - raw total energy (eV per atom) = -4.405
# - energy above the most stable polymorph in this dataset (eV/atom) = 0.055
# - calculated formation energy (eV/atom) = 0.245
data_Pm4DyHo5
_cell_length_a 10.646
_cell_length_b 10.646
_cell_length_c 5.933
_cell_angle_alpha 90.00
_cell_angle_beta 90.00
_cell_angle_gamma 90.00
_symmetry_space_group_name_H-M 'I 4 m m'
_symmetry_Int_Tables_number 107
_symmetry_space_group_name_Hall 'I 4 -2'
loop_
_atom_site_label
_atom_site_fract_x
_atom_site_fract_y
_atom_site_fract_z
Pm1 0.000 0.324 0.000
Dy1 0.000 0.000 0.239
Ho1 0.000 0.000 0.764
Ho2 0.189 0.189 0.502



[8]
# Pm3Dy12Ho | the Alexandria database | PBE-GGA | optimized geometry
# - raw total energy (eV per atom) = -4.610
# - calculated formation energy (eV/atom) = 0.019
data_Pm3Dy12Ho
_cell_length_a 5.035
_cell_length_b 5.035
_cell_length_c 20.146
_cell_angle_alpha 90.00
_cell_angle_beta 90.00
_cell_angle_gamma 90.00
_symmetry_space_group_name_H-M 'P 4/m m m'
_symmetry_Int_Tables_number 123
_symmetry_space_group_name_Hall '-P 4 2'
loop_
_atom_site_label
_atom_site_fract_x
_atom_site_fract_y
_atom_site_fract_z
Pm1 0.000 0.000 0.000
Pm2 0.000 0.000 0.251
Dy1 0.000 0.500 0.126
Dy2 0.000 0.500 0.377
Dy3 0.500 0.500 0.000
Dy4 0.500 0.500 0.251
Dy5 0.500 0.500 0.500
Ho1 0.000 0.000 0.500